Ca11Tl9Pb4: relaxed, GGA-PBE.

Computed properties:
The total energy comes out at -2.824 eV per atom. Its formation energy is -929 kJ/mol of formula units. Its space-group type is Cmmm. Its calculated volume is 719.43 Å³/f.u. The density of states at the Fermi level is 13.6 states/eV/f.u.

Lattice parameters (Å, degrees): 3.7545 14.1332 14.1332 106.40 90.00 90.00
Fractional coordinates of all 24 atoms:
Tl  0.5000  0.1485  0.6095
Ca  0.0000  0.0000  0.0000
Ca  0.0000  0.9433  0.6009
Ca  0.0000  0.1841  0.8159
Tl  0.5000  0.9830  0.8048
Tl  0.5000  0.8515  0.3905
Tl  0.5000  0.3905  0.8515
Ca  0.0000  0.6363  0.3637
Ca  0.0000  0.0567  0.3991
Tl  0.5000  0.5000  0.5000
Ca  0.0000  0.6009  0.9433
Pb  0.5000  0.2619  0.4308
Ca  0.0000  0.7744  0.7744
Ca  0.0000  0.3637  0.6363
Ca  0.0000  0.3991  0.0567
Pb  0.5000  0.4308  0.2619
Tl  0.5000  0.0170  0.1952
Pb  0.5000  0.5692  0.7381
Pb  0.5000  0.7381  0.5692
Ca  0.0000  0.2256  0.2256
Tl  0.5000  0.1952  0.0170
Ca  0.0000  0.8159  0.1841
Tl  0.5000  0.6095  0.1485
Tl  0.5000  0.8048  0.9830

=====

Pr4Dy5Tl: relaxed, GGA-PBE.

Computed properties:
The total energy comes out at -4.365 eV per atom. Its formation energy is 81 kJ/mol of formula units. As for the excess energy over the best structure of this formula in the dataset: 143.4 meV per atom. Its space-group type is I4mm. Its calculated volume is 343.96 Å³/f.u. The density of states at the Fermi level is 14.1 states/eV/f.u.

Lattice parameters (Å, degrees): 5.8685 8.1988 8.1988 82.64 69.03 69.03
Fractional coordinates of all 10 atoms:
Dy  0.7709  0.3681  0.0001
Pr  0.4635  0.6878  0.3123
Dy  0.7709  0.9999  0.3681
Tl  0.1769  0.0000  0.0000
Pr  0.4636  0.3122  0.6877
Dy  0.1390  0.6319  0.9999
Pr  0.7758  0.6877  0.6878
Pr  0.1513  0.3123  0.3122
Dy  0.1390  0.0001  0.6319
Dy  0.6594  0.0000  0.0000

=====

Pr3Al3Os2: relaxed, GGA-PBE.

Computed properties:
The total energy comes out at -6.347 eV per atom. Its formation energy is -265 kJ/mol of formula units. Its space-group type is Pnma. Its calculated volume is 183.88 Å³/f.u. The density of states at the Fermi level is 6.3 states/eV/f.u.

Lattice parameters (Å, degrees): 6.0117 7.9201 15.4479 90.00 90.00 90.00
Fractional coordinates of all 32 atoms:
Os  0.1279  0.8634  0.8960
Al  0.9006  0.8312  0.7500
Al  0.9018  0.8428  0.4643
Os  0.8721  0.1366  0.1040
Os  0.6279  0.6366  0.1040
Os  0.1279  0.8634  0.6040
Al  0.4006  0.6688  0.2500
Os  0.8721  0.1366  0.3960
Pr  0.1033  0.4649  0.3933
Al  0.4018  0.6572  0.5357
Al  0.5982  0.3428  0.0357
Pr  0.1207  0.1779  0.7500
Al  0.4018  0.6572  0.9643
Pr  0.6207  0.3221  0.2500
Al  0.0982  0.1572  0.5357
Pr  0.8967  0.5351  0.6067
Al  0.9018  0.8428  0.0357
Pr  0.6033  0.0351  0.8933
Pr  0.3967  0.9649  0.1067
Pr  0.1033  0.4649  0.1067
Pr  0.6033  0.0351  0.6067
Al  0.5982  0.3428  0.4643
Pr  0.3967  0.9649  0.3933
Al  0.5994  0.3312  0.7500
Al  0.0994  0.1688  0.2500
Pr  0.8967  0.5351  0.8933
Pr  0.8793  0.8221  0.2500
Al  0.0982  0.1572  0.9643
Os  0.3721  0.3634  0.6040
Os  0.6279  0.6366  0.3960
Pr  0.3793  0.6779  0.7500
Os  0.3721  0.3634  0.8960

=====

Be2TcAu: relaxed, GGA-PBE.

Computed properties:
The total energy comes out at -5.298 eV per atom. Its formation energy is -9 kJ/mol of formula units. As for the excess energy over the best structure of this formula in the dataset: 86.1 meV per atom. Its space-group type is P2/m. Its calculated volume is 50.78 Å³/f.u. The density of states at the Fermi level is 1.9 states/eV/f.u.

Lattice parameters (Å, degrees): 3.4576 2.7736 5.2948 89.80 90.00 90.00
Fractional coordinates of all 4 atoms:
Au  0.5000  0.7500  0.7500
Be  0.0000  0.7466  0.4422
Be  0.0000  0.7534  0.0578
Tc  0.5000  0.2500  0.2500

=====

Ce2Ga3Co4: relaxed, GGA-PBE.

Computed properties:
The total energy comes out at -5.937 eV per atom. Its formation energy is -392 kJ/mol of formula units. Its space-group type is Cmce. Its calculated volume is 140.37 Å³/f.u. The density of states at the Fermi level is 5.9 states/eV/f.u.

Lattice parameters (Å, degrees): 5.6326 6.2520 8.4548 90.00 109.46 90.00
Fractional coordinates of all 18 atoms:
Ga  0.9850  0.2500  0.4700
Co  0.6701  0.7500  0.8402
Co  0.1635  0.9689  0.3271
Ga  0.5000  0.5000  0.0000
Ce  0.1071  0.5788  0.2141
Co  0.3299  0.2500  0.1598
Co  0.6635  0.5311  0.3271
Ga  0.5150  0.7500  0.5300
Ce  0.3929  0.0788  0.7859
Ce  0.6071  0.9212  0.2141
Ga  0.4850  0.2500  0.4700
Co  0.1701  0.7500  0.8402
Ga  0.0150  0.7500  0.5300
Co  0.8299  0.2500  0.1598
Ga  0.0000  0.0000  0.0000
Co  0.8365  0.0311  0.6729
Ce  0.8929  0.4212  0.7859
Co  0.3365  0.4689  0.6729

=====

LiRuO2: relaxed, GGA-PBE.

Computed properties:
The total energy comes out at -6.083 eV per atom. Its space-group type is Fm-3m. Its calculated volume is 34.44 Å³/f.u. Its formation energy without anion corrections is -0.81 eV/atom. The density of states at the Fermi level is 1.8 states/eV/f.u.

Lattice parameters (Å, degrees): 3.6520 3.6520 3.6520 60.00 60.00 60.00
Fractional coordinates of all 4 atoms:
O  0.2500  0.2500  0.2500
Ru  0.5000  0.5000  0.5000
Li  0.0000  0.0000  0.0000
O  0.7500  0.7500  0.7500

=====

Al2CuNi3: relaxed, GGA-PBE.

Computed properties:
The total energy comes out at -5.019 eV per atom. Its formation energy is -115 kJ/mol of formula units. As for the excess energy over the best structure of this formula in the dataset: 252.8 meV per atom. Its space-group type is P-3m1. Its calculated volume is 73.27 Å³/f.u. The density of states at the Fermi level is 5.0 states/eV/f.u.

Lattice parameters (Å, degrees): 5.3387 5.3387 5.9368 90.00 90.00 120.00
Fractional coordinates of all 12 atoms:
Ni  0.8354  0.6709  0.3239
Ni  0.1645  0.8355  0.6761
Cu  0.6667  0.3333  0.6563
Al  0.0000  0.5000  0.0000
Cu  0.3333  0.6667  0.3437
Ni  0.6709  0.8354  0.6761
Al  0.0000  0.0000  0.0000
Ni  0.1646  0.3291  0.6761
Ni  0.8355  0.1645  0.3239
Al  0.5000  0.0000  0.0000
Al  0.5000  0.5000  0.0000
Ni  0.3291  0.1646  0.3239

=====

Nd3Mg2Pb6: relaxed, GGA-PBE.

Computed properties:
The total energy comes out at -3.883 eV per atom. Its formation energy is -287 kJ/mol of formula units. Its space-group type is I4/mmm. Its calculated volume is 343.90 Å³/f.u. The density of states at the Fermi level is 6.1 states/eV/f.u.

Lattice parameters (Å, degrees): 4.7777 4.7777 15.4403 98.90 98.90 90.00
Fractional coordinates of all 11 atoms:
Mg  0.3608  0.3608  0.7216
Pb  0.5769  0.0769  0.1538
Pb  0.9231  0.4231  0.8462
Pb  0.4231  0.9231  0.8462
Nd  0.1605  0.1605  0.3211
Nd  0.8395  0.8395  0.6789
Pb  0.7337  0.7337  0.4674
Pb  0.2663  0.2663  0.5326
Pb  0.0769  0.5769  0.1538
Mg  0.6392  0.6392  0.2784
Nd  0.0000  0.0000  0.0000

=====

Cs3Sm3MoS8: relaxed, GGA-PBE.

Computed properties:
The total energy comes out at -5.533 eV per atom. Its space-group type is R-3m. Its calculated volume is 463.49 Å³/f.u. Its formation energy without anion corrections is -1.50 eV/atom. The density of states at the Fermi level is 6.4 states/eV/f.u.

Lattice parameters (Å, degrees): 8.0647 8.0654 9.4553 115.26 90.00 120.00
Fractional coordinates of all 15 atoms:
Sm  0.0000  0.5000  0.5000
Mo  0.0000  0.0000  0.5000
S  0.2082  0.4164  0.6722
S  0.7918  0.5836  0.3278
S  0.7288  0.4577  0.6864
Cs  0.0000  0.0000  0.0000
S  0.7560  0.9641  0.6722
Sm  0.5000  0.0000  0.5000
Cs  0.0000  0.5000  0.0000
Cs  0.5000  0.5000  0.0000
S  0.7919  0.0359  0.3278
S  0.2712  0.5423  0.3136
S  0.2081  0.9641  0.6722
Sm  0.5000  0.5000  0.5000
S  0.2440  0.0359  0.3278

=====

InSn2HAu: relaxed, GGA-PBE.

Computed properties:
The total energy comes out at -3.414 eV per atom. Its space-group type is P4/mmm. Its calculated volume is 110.85 Å³/f.u. The density of states at the Fermi level is 1.7 states/eV/f.u.

Lattice parameters (Å, degrees): 5.6328 5.6328 3.4938 90.00 90.00 90.00
Fractional coordinates of all 5 atoms:
Sn  0.0000  0.5000  0.0000
In  0.5000  0.5000  0.5000
Sn  0.5000  0.0000  0.0000
H  0.0000  0.0000  0.5000
Au  0.0000  0.0000  0.0000

=====

La4TlIr: relaxed, GGA-PBE.

Computed properties:
The total energy comes out at -4.705 eV per atom. Its formation energy is 261 kJ/mol of formula units. As for the excess energy over the best structure of this formula in the dataset: 944.6 meV per atom. Its space-group type is F-43m. Its calculated volume is 174.77 Å³/f.u. The density of states at the Fermi level is 9.4 states/eV/f.u.

Lattice parameters (Å, degrees): 6.2756 6.2756 6.2756 60.00 60.00 60.00
Fractional coordinates of all 6 atoms:
Tl  0.7500  0.7500  0.7500
La  0.3738  0.3738  0.3738
La  0.8785  0.3738  0.3738
Ir  0.0000  0.0000  0.0000
La  0.3738  0.3738  0.8785
La  0.3738  0.8785  0.3738

=====

NaCd7Pd4: relaxed, GGA-PBE.

Computed properties:
The total energy comes out at -2.559 eV per atom. Its formation energy is -213 kJ/mol of formula units. Its space-group type is C2/m. Its calculated volume is 250.17 Å³/f.u. The density of states at the Fermi level is 4.0 states/eV/f.u.

Lattice parameters (Å, degrees): 4.9634 8.2888 6.8515 80.47 68.76 72.58
Fractional coordinates of all 12 atoms:
Pd  0.3073  0.3396  0.0458
Pd  0.5711  0.2143  0.6436
Cd  0.2173  0.1340  0.4315
Cd  0.5000  0.0000  0.0000
Cd  0.0669  0.6451  0.2212
Na  0.0000  0.0000  0.0000
Cd  0.7827  0.8660  0.5685
Pd  0.6927  0.6604  0.9542
Cd  0.6658  0.3983  0.2700
Cd  0.3342  0.6017  0.7300
Pd  0.4289  0.7857  0.3564
Cd  0.9331  0.3549  0.7788